# LiPm2Ti

LiPm2Ti after structural relaxation (PBE, Alexandria via LeMat-Bulk).

a b c (Å): 11.883 11.883 11.883
angles (deg): 15.75 15.75 15.75
Atoms (fractional coordinates):
Li (0.000, 0.000, 0.000)
Pm (0.417, 0.417, 0.417)
Pm (0.583, 0.583, 0.583)
Ti (0.500, 0.500, 0.500)

Values from the calculation:
symmetry = R-3m
E_form = 470 meV/atom
excess energy over the best structure of this formula in the dataset = 289 meV per atom